(1)
Compound: AcPSe
Source: the Alexandria database
Functional: PBE-GGA
Structure: relaxed

Lattice parameters (Å, degrees): 10.127 4.237 8.473 90.00 112.72 90.00
Space group C2/m (No. 12)
Inequivalent atoms, fractional coordinates:
1 Ac 0.059 0.000 0.292
2 P 0.111 0.500 0.596
3 Se 0.131 0.500 0.050

## Properties
- Raw formation energy: -26.5 kcal/mol of atoms
- Excess energy over the best structure of this formula in the dataset: 1.07 eV per formula unit
- Total moment: 0.00 μB per formula unit
- E: -65.788 eV for the cell shown

***

(2)
Compound: Ac5PSe4
Source: the Alexandria database
Functional: PBE-GGA
Structure: relaxed

Lattice parameters (Å, degrees): 4.459 4.459 31.589 90.00 90.00 90.00
Space group I4/mmm (No. 139)
Inequivalent atoms, fractional coordinates:
1 Ac 0.000 0.000 0.000
2 Ac 0.000 0.000 0.202
3 Ac 0.000 0.000 0.404
4 P 0.000 0.000 0.500
5 Se 0.000 0.000 0.101
6 Se 0.000 0.000 0.302

## Properties
- Raw formation energy: -41.9 kcal/mol of atoms
- Total moment: 0.00 μB per formula unit
- E: -116.102 eV for the cell shown

***

(3)
Compound: Ac3P5Se12
Source: the Alexandria database
Functional: PBE-GGA
Structure: relaxed

Lattice parameters (Å, degrees): 16.425 16.425 16.425 90.00 90.00 90.00
Space group Ia-3d (No. 230)
Inequivalent atoms, fractional coordinates:
1 Ac 0.000 0.250 0.125
2 P 0.000 0.000 0.000
3 P 0.000 0.250 0.375
4 Se 0.030 0.053 0.646

## Properties
- Raw formation energy: -14.3 kcal/mol of atoms
- Total moment: 0.00 μB per formula unit
- E: -749.005 eV for the cell shown

***

(4)
Compound: Ac6PSe5
Source: the Alexandria database
Functional: PBE-GGA
Structure: relaxed

Lattice parameters (Å, degrees): 7.729 13.394 7.733 90.00 109.44 90.00
Space group C2/m (No. 12)
Inequivalent atoms, fractional coordinates:
1 Ac 0.241 0.000 0.257
2 Ac 0.242 0.161 0.742
3 P 0.000 0.000 0.500
4 Se 0.000 0.170 0.000
5 Se 0.000 0.333 0.500
6 Se 0.000 0.500 0.000

## Properties
- Raw formation energy: -42.4 kcal/mol of atoms
- Total moment: 0.00 μB per formula unit
- E: -139.091 eV for the cell shown

***

(5)
Compound: Ac2PSe
Source: the Alexandria database
Functional: PBE-GGA
Structure: relaxed

Lattice parameters (Å, degrees): 4.4347 4.4347 22.1002 90.00 90.00 120.00
Space group R-3m (No. 166, hexagonal axes)
Inequivalent atoms, fractional coordinates:
1 Ac 0.0000 0.0000 0.2441
2 P 0.0000 0.0000 0.5000
3 Se 0.0000 0.0000 0.0000

## Properties
- Raw formation energy: -40.4 kcal/mol of atoms
- Excess energy over the best structure of this formula in the dataset: 0.00 eV per formula unit
- Total moment: 0.00 μB per formula unit
- E: -72.343 eV for the cell shown

***

(6)
Compound: Ac5P4Se
Source: the Alexandria database
Functional: PBE-GGA
Structure: relaxed

Lattice parameters (Å, degrees): 4.447 6.291 22.311 90.00 90.00 90.00
Space group Immm (No. 71)
Inequivalent atoms, fractional coordinates:
1 Ac 0.000 0.000 0.000
2 Ac 0.000 0.000 0.200
3 Ac 0.000 0.000 0.394
4 P 0.000 0.500 0.200
5 P 0.000 0.500 0.401
6 Se 0.000 0.500 0.000

## Properties
- Raw formation energy: -36.9 kcal/mol of atoms
- Total moment: 0.00 μB per formula unit
- E: -123.334 eV for the cell shown

***

(7)
Compound: Ac2PSe5
Source: the Alexandria database
Functional: PBE-GGA
Structure: relaxed

Lattice parameters (Å, degrees): 7.180 7.180 8.684 90.00 90.00 90.00
Space group I4mm (No. 107)
Inequivalent atoms, fractional coordinates:
1 Ac 0.000 0.500 0.000
2 P 0.000 0.000 0.219
3 Se 0.000 0.000 0.964
4 Se 0.240 0.240 0.257

## Properties
- Raw formation energy: -25.9 kcal/mol of atoms
- Total moment: 0.00 μB per formula unit
- E: -80.073 eV for the cell shown

***

(8)
Compound: Ac7P5Se
Source: the Alexandria database
Functional: PBE-GGA
Structure: relaxed

Lattice parameters (Å, degrees): 14.656 4.401 26.176 90.00 90.04 90.00
Space group C2/m (No. 12)
Inequivalent atoms, fractional coordinates:
1 Ac 0.036 0.000 0.250
2 Ac 0.086 0.500 0.397
3 Ac 0.087 0.500 0.104
4 Ac 0.138 0.000 0.535
5 Ac 0.138 0.000 0.965
6 Ac 0.179 0.500 0.826
7 Ac 0.180 0.500 0.674
8 P 0.000 0.500 0.000
9 P 0.000 0.500 0.500
10 P 0.047 0.000 0.645
11 P 0.047 0.000 0.855
12 P 0.226 0.000 0.074
13 P 0.226 0.000 0.426
14 Se 0.202 0.500 0.250

## Properties
- Raw formation energy: -32.0 kcal/mol of atoms
- Total moment: 0.63 μB per formula unit
- E: -309.333 eV for the cell shown

***

Number 1: ρ 6.67 g/cm³, Fermi-level density of states 1.29 states/eV per cell. Number 2: ρ 7.84 g/cm³, Fermi-level density of states 8.92 states/eV per cell. Number 3: ρ 5.35 g/cm³, Fermi-level density of states 32.39 states/eV per cell. Number 4: ρ 7.87 g/cm³, Fermi-level density of states 12.60 states/eV per cell. Number 5: ρ 7.46 g/cm³, Fermi-level density of states 5.11 states/eV per cell. Number 6: ρ 7.12 g/cm³, Fermi-level density of states 5.50 states/eV per cell. Number 7: ρ 6.53 g/cm³, Fermi-level density of states 5.39 states/eV per cell. Number 8: ρ 7.17 g/cm³, Fermi-level density of states 20.67 states/eV per cell.